i:
Density functional theory data (PBE-GGA) for a relaxed Li2Cd2Ni crystal.

Calculated values
Calculated volume, Å³ per cell: 159
Total moment, μB per formula unit: 0.0

a b c (Å): 6.373 6.373 3.921
angles (deg): 90.00 90.00 90.00
Sites, in units of the cell vectors:
Cd: 0.323 0.177 0.500
Cd: 0.677 0.823 0.500
Cd: 0.823 0.323 0.500
Cd: 0.177 0.677 0.500
Li: 0.134 0.366 0.000
Li: 0.366 0.866 0.000
Li: 0.634 0.134 0.000
Li: 0.866 0.634 0.000
Ni: 0.000 0.000 0.000
Ni: 0.500 0.500 0.000

ii:
Density functional theory data (PBE-GGA) for a relaxed Li2Cd2Ni crystal.

Calculated values
Calculated volume, Å³ per cell: 186
Total moment, μB per formula unit: 0.0

a b c (Å): 6.836 6.836 3.976
angles (deg): 90.00 90.00 90.00
Sites, in units of the cell vectors:
Cd: 0.851 0.649 0.000
Cd: 0.351 0.851 0.000
Cd: 0.149 0.351 0.000
Cd: 0.649 0.149 0.000
Li: 0.336 0.164 0.500
Li: 0.664 0.836 0.500
Li: 0.164 0.664 0.500
Li: 0.836 0.336 0.500
Ni: 0.500 0.500 0.000
Ni: 0.000 0.000 0.000

iii:
Density functional theory data (PBE-GGA) for a relaxed Li2Cd2Ni crystal.

Calculated values
Calculated volume, Å³ per cell: 82
Total moment, μB per formula unit: 0.0

a b c (Å): 4.482 4.508 5.321
angles (deg): 90.42 65.90 59.67
Sites, in units of the cell vectors:
Ni: 0.000 0.500 0.000
Li: 0.383 0.308 0.424
Li: 0.617 0.692 0.576
Cd: 0.788 0.105 0.820
Cd: 0.212 0.895 0.180

Of them, the most stable is iii and the least stable is ii.

i:
Density functional theory data (PBE-GGA) for a relaxed Li4CdNi crystal.

Calculated values
Calculated volume, Å³ per cell: 88
Total moment, μB per formula unit: 0.0

a b c (Å): 4.994 4.994 4.994
angles (deg): 60.00 60.00 60.00
Sites, in units of the cell vectors:
Li: 0.376 0.871 0.376
Li: 0.871 0.376 0.376
Li: 0.376 0.376 0.871
Li: 0.376 0.376 0.376
Ni: 0.750 0.750 0.750
Cd: 0.000 0.000 0.000

ii:
Density functional theory data (PBE-GGA) for a relaxed Li4CdNi crystal.

Calculated values
Calculated volume, Å³ per cell: 92
Total moment, μB per formula unit: 0.0

a b c (Å): 4.468 5.155 5.155
angles (deg): 97.02 114.42 114.42
Sites, in units of the cell vectors:
Cd: 0.000 0.500 0.000
Li: 0.754 0.923 0.091
Li: 0.246 0.409 0.577
Li: 0.754 0.591 0.423
Li: 0.246 0.077 0.909
Ni: 0.500 0.000 0.500

Of them, the most stable is ii and the least stable is i.

i:
Density functional theory data (PBE-GGA) for a relaxed Li2CdNiPt crystal.

Calculated values
Calculated volume, Å³ per cell: 89
Total moment, μB per formula unit: 0.6

a b c (Å): 4.361 4.679 4.361
angles (deg): 90.00 90.00 90.00
Sites, in units of the cell vectors:
Cd: 0.500 0.500 0.500
Pt: 0.000 0.500 0.000
Ni: 0.000 0.000 0.000
Li: 0.500 0.000 0.000
Li: 0.000 0.000 0.500

ii:
Density functional theory data (PBE-GGA) for a relaxed Li2CdNiPt crystal.

Calculated values
Calculated volume, Å³ per cell: 101
Total moment, μB per formula unit: 0.8

a b c (Å): 4.625 4.723 4.625
angles (deg): 90.00 90.00 90.00
Sites, in units of the cell vectors:
Li: 0.500 0.000 0.000
Li: 0.000 0.000 0.500
Pt: 0.000 0.000 0.000
Cd: 0.500 0.500 0.500
Ni: 0.000 0.500 0.000

Of them, the most stable is i and the least stable is ii.

i:
Density functional theory data (PBE-GGA) for a relaxed LiCdO crystal.

Calculated values
Calculated volume, Å³ per cell: 46
Total moment, μB per formula unit: 0.0

a b c (Å): 5.341 3.163 3.163
angles (deg): 120.00 90.00 90.00
Sites, in units of the cell vectors:
Cd: 0.231 0.667 0.333
Li: 0.815 0.333 0.667
O: 0.954 0.000 0.000

ii:
Density functional theory data (PBE-GGA) for a relaxed LiCdO crystal.

Calculated values
Calculated volume, Å³ per cell: 44
Total moment, μB per formula unit: 0.0

a b c (Å): 3.951 3.951 3.946
angles (deg): 90.01 119.98 120.05
Sites, in units of the cell vectors:
O: 0.444 0.222 0.666
Cd: 0.945 0.972 0.917
Li: 0.944 0.472 0.417

Of them, the most stable is i and the least stable is ii.

i:
Density functional theory data (PBE-GGA) for a relaxed LiCdPO2 crystal.

Calculated values
Calculated volume, Å³ per cell: 93
Total moment, μB per formula unit: 2.9

a b c (Å): 4.265 4.265 5.136
angles (deg): 90.00 90.00 90.00
Sites, in units of the cell vectors:
P: 0.000 0.000 0.500
Li: 0.500 0.500 0.500
O: 0.500 0.000 0.000
O: 0.000 0.500 0.000
Cd: 0.000 0.000 0.000

ii:
Density functional theory data (PBE-GGA) for a relaxed LiCdPO2 crystal.

Calculated values
Calculated volume, Å³ per cell: 68
Total moment, μB per formula unit: 1.9

a b c (Å): 3.810 3.810 4.658
angles (deg): 90.00 90.00 90.00
Sites, in units of the cell vectors:
Cd: 0.500 0.500 0.500
O: 0.000 0.500 0.000
O: 0.500 0.000 0.000
Li: 0.000 0.000 0.000
P: 0.000 0.000 0.500

Of them, the most stable is ii and the least stable is i.

i:
Density functional theory data (PBE-GGA) for a relaxed Li2CdSiO4 crystal.

Calculated values
Calculated volume, Å³ per cell: 91
Total moment, μB per formula unit: 0.0

a b c (Å): 4.695 4.695 5.288
angles (deg): 116.36 116.36 90.00
Sites, in units of the cell vectors:
O: 0.580 0.580 0.759
O: 0.821 0.421 0.241
O: 0.421 0.821 0.241
O: 0.179 0.179 0.759
Si: 0.500 0.500 0.000
Li: 0.250 0.750 0.500
Li: 0.750 0.250 0.500
Cd: 0.000 0.000 0.000

ii:
Density functional theory data (PBE-GGA) for a relaxed Li2CdSiO4 crystal.

Calculated values
Calculated volume, Å³ per cell: 371
Total moment, μB per formula unit: 0.0

a b c (Å): 5.196 6.539 10.912
angles (deg): 90.00 90.00 90.00
Sites, in units of the cell vectors:
O: 0.148 0.250 0.854
O: 0.245 0.750 0.306
O: 0.648 0.750 0.646
O: 0.207 0.953 0.589
O: 0.852 0.750 0.146
O: 0.755 0.250 0.694
O: 0.293 0.547 0.089
O: 0.793 0.453 0.411
O: 0.745 0.250 0.194
O: 0.707 0.453 0.911
O: 0.352 0.250 0.354
O: 0.793 0.047 0.411
O: 0.293 0.953 0.089
O: 0.255 0.750 0.806
O: 0.207 0.547 0.589
O: 0.707 0.047 0.911
Si: 0.669 0.250 0.342
Si: 0.331 0.750 0.658
Si: 0.831 0.250 0.842
Si: 0.169 0.750 0.158
Li: 0.174 0.999 0.412
Li: 0.826 0.001 0.588
Li: 0.826 0.499 0.588
Li: 0.326 0.501 0.912
Li: 0.674 0.499 0.088
Li: 0.326 0.999 0.912
Li: 0.174 0.501 0.412
Li: 0.674 0.001 0.088
Cd: 0.174 0.250 0.164
Cd: 0.674 0.750 0.336
Cd: 0.826 0.750 0.836
Cd: 0.326 0.250 0.664

Of them, the most stable is ii and the least stable is i.